[1]
{"formula": "AcMg6Hg6", "functional": "PBE-GGA", "state": "optimized geometry", "spacegroup": "Immm", "n_ef_per_ev_atom": 0.423, "e_tot_ev_per_cell": -18.923, "formation_enthalpy_0k_kj_per_mol_atoms": -25.5, "lattice_angstrom": [[-3.111, 4.811, 5.148], [3.111, -4.811, 5.148], [3.111, 4.811, -5.148]], "species": ["Ac", "Mg", "Mg", "Mg", "Mg", "Mg", "Mg", "Hg", "Hg", "Hg", "Hg", "Hg", "Hg"], "fractional_positions": [[0.000, 0.000, 0.000], [0.000, 0.000, 0.500], [0.000, 0.500, 0.000], [0.245, 0.500, 0.745], [0.500, 0.000, 0.000], [0.500, 0.500, 0.500], [0.755, 0.500, 0.255], [0.175, 0.675, 0.500], [0.339, 0.339, 0.000], [0.342, 0.000, 0.342], [0.658, 0.000, 0.658], [0.661, 0.661, 0.000], [0.825, 0.325, 0.500]]}

[2]
{"formula": "TlGaAgSe", "functional": "PBE-GGA", "state": "optimized geometry", "spacegroup": "Cm", "n_ef_per_ev_atom": 0.110, "e_tot_ev_per_cell": -12.251, "formation_energy_uncorrected_ev_per_atom": -0.13, "lattice_angstrom": [[3.245, -1.860, 0.000], [3.245, 1.860, 0.000], [-2.234, 0.000, 8.100]], "species": ["Tl", "Ga", "Ag", "Se"], "fractional_positions": [[0.000, 0.000, 0.000], [0.837, 0.837, 0.510], [0.576, 0.576, 0.729], [0.446, 0.446, 0.338]]}

Please write out number 1 again, unchanged.
{"formula": "AcMg6Hg6", "functional": "PBE-GGA", "state": "optimized geometry", "spacegroup": "Immm", "n_ef_per_ev_atom": 0.423, "e_tot_ev_per_cell": -18.923, "formation_enthalpy_0k_kj_per_mol_atoms": -25.5, "lattice_angstrom": [[-3.111, 4.811, 5.148], [3.111, -4.811, 5.148], [3.111, 4.811, -5.148]], "species": ["Ac", "Mg", "Mg", "Mg", "Mg", "Mg", "Mg", "Hg", "Hg", "Hg", "Hg", "Hg", "Hg"], "fractional_positions": [[0.000, 0.000, 0.000], [0.000, 0.000, 0.500], [0.000, 0.500, 0.000], [0.245, 0.500, 0.745], [0.500, 0.000, 0.000], [0.500, 0.500, 0.500], [0.755, 0.500, 0.255], [0.175, 0.675, 0.500], [0.339, 0.339, 0.000], [0.342, 0.000, 0.342], [0.658, 0.000, 0.658], [0.661, 0.661, 0.000], [0.825, 0.325, 0.500]]}